# 1
The following is a DFT calculation (PBE-GGA) of Ca2Pr8Ho3 after structural relaxation.

Cell and atoms, written as POSCAR:
```
Ca2Pr8Ho3
1.0
6.3698 0.0000 0.0000
-2.1562 8.0118 0.0000
-3.1161 -1.7550 9.0407
Ca Pr Ho
2 8 3
Cartesian
-0.5115 0.2715 1.7348 Ca
1.6090 5.9852 7.3059 Ca
-1.5657 0.8926 5.2450 Pr
-0.5405 3.7948 3.1278 Pr
-1.5557 4.2347 6.6058 Pr
0.5601 6.5131 1.0554 Pr
0.5374 -0.2564 7.9853 Pr
2.6532 2.0220 2.4348 Pr
1.6379 2.4620 5.9128 Pr
2.6632 5.3641 3.7957 Pr
-2.5863 1.5030 8.6998 Ho
1.6269 -0.8775 4.5203 Ho
3.6838 4.7537 0.3409 Ho
```

Values from the calculation:
Its space-group type is P-1, No. 2. The total energy comes out at -4.263 eV/atom. As for the volume: 35.49 Å³/atom. Its formation energy is 0.56 eV per formula unit. As for the crystal system: triclinic.



# 2
The following is a DFT calculation (PBE-GGA) of ZrSbP2O after structural relaxation.

Cell and atoms, written as POSCAR:
```
ZrSbP2O
1.0
5.2225 0.0000 0.0000
0.0000 5.2225 0.0000
0.0000 0.0000 3.9709
Zr Sb P O
1 1 2 1
Cartesian
0.0000 0.0000 0.0000 Zr
2.6112 2.6112 1.9855 Sb
0.0000 2.6112 0.0000 P
2.6112 0.0000 0.0000 P
0.0000 0.0000 1.9855 O
```

Values from the calculation:
Its space-group type is P4/mmm, No. 123. The total energy comes out at -6.175 eV/atom. The formation energy from raw total energies is -486 meV per atom. As for the volume: 21.66 Å³/atom. As for the crystal system: tetragonal. The calculation puts the energy above the lowest structure with this stoichiometry at 0.000 eV per atom.



# 3
The following is a DFT calculation (PBE-GGA) of YMn2Ru after structural relaxation.

Cell and atoms, written as POSCAR:
```
YMn2Ru
1.0
4.0006 0.0000 0.0000
0.0000 4.0006 0.0000
0.0000 0.0000 4.4132
Y Mn Ru
1 2 1
Cartesian
0.0000 0.0000 0.0000 Y
0.0000 2.0003 2.2066 Mn
2.0003 0.0000 2.2066 Mn
2.0003 2.0003 0.0000 Ru
```

Values from the calculation:
Its space-group type is P4/mmm, No. 123. The total energy comes out at -8.291 eV/atom. As for the volume: 17.66 Å³/atom. Its formation energy is 0.91 eV per formula unit. As for the crystal system: tetragonal. The calculation puts the energy above the lowest structure with this stoichiometry at 0.141 eV per atom.



# 4
The following is a DFT calculation (PBE-GGA) of Bi3Te3Pt after structural relaxation.

Cell and atoms, written as POSCAR:
```
Bi3Te3Pt
1.0
9.8915 -3.5716 0.0000
9.8915 3.5716 0.0000
0.0000 0.0000 12.7545
Bi Te Pt
12 12 4
Cartesian
6.8782 2.1627 8.0696 Bi
9.8915 2.8215 11.2729 Bi
6.8782 1.4089 1.6924 Bi
12.9048 2.1627 8.0696 Bi
9.8915 0.7501 4.8956 Bi
12.9048 1.4089 1.6924 Bi
6.8782 -1.4089 11.0621 Bi
9.8915 -0.7501 7.8589 Bi
6.8782 -2.1627 4.6849 Bi
12.9048 -1.4089 11.0621 Bi
9.8915 -2.8215 1.4817 Bi
12.9048 -2.1627 4.6849 Bi
9.8915 3.2842 8.1599 Te
6.1726 1.8828 11.1609 Te
6.1726 1.6888 4.7836 Te
13.6105 1.8828 11.1609 Te
13.6105 1.6888 4.7836 Te
9.8915 0.2875 1.7826 Te
9.8915 -0.2875 10.9719 Te
6.1726 -1.6888 7.9709 Te
6.1726 -1.8828 1.5936 Te
13.6105 -1.6888 7.9709 Te
13.6105 -1.8828 1.5936 Te
9.8915 -3.2842 4.5946 Te
2.2867 0.0000 0.0000 Pt
7.6049 0.0000 6.3773 Pt
12.1782 0.0000 6.3773 Pt
17.4964 0.0000 0.0000 Pt
```

Values from the calculation:
Its space-group type is Cmce, No. 64. The total energy comes out at -4.014 eV/atom. The formation energy from raw total energies is -141 meV per atom. As for the volume: 32.19 Å³/atom. As for the crystal system: orthorhombic.



# 5
The following is a DFT calculation (PBE-GGA) of LiMg2Zr after structural relaxation.

Cell and atoms, written as POSCAR:
```
LiMg2Zr
1.0
5.1199 -1.4536 0.0000
5.1199 1.4536 0.0000
-0.5829 0.0000 5.8179
Li Mg Zr
1 2 1
Cartesian
0.0000 0.0000 0.0000 Li
4.7856 0.0000 2.8866 Mg
7.5183 0.0000 1.3745 Mg
2.0605 0.0000 4.3123 Zr
```

Values from the calculation:
Its space-group type is Cm, No. 8. The total energy comes out at -3.293 eV/atom. As for the volume: 21.65 Å³/atom. Its formation energy is 0.48 eV per formula unit. As for the crystal system: monoclinic.



# 6
The following is a DFT calculation (PBE-GGA) of Er4AgRh2 after structural relaxation.

Cell and atoms, written as POSCAR:
```
Er4AgRh2
1.0
4.8716 0.0000 0.0000
0.0000 4.8716 0.0000
0.0000 0.0000 6.8438
Er Ag Rh
4 1 2
Cartesian
0.0000 2.4358 1.6770 Er
0.0000 2.4358 5.1668 Er
2.4358 0.0000 1.6770 Er
2.4358 0.0000 5.1668 Er
0.0000 0.0000 3.4219 Ag
0.0000 0.0000 0.0000 Rh
2.4358 2.4358 3.4219 Rh
```

Values from the calculation:
Its space-group type is P4/mmm, No. 123. The total energy comes out at -5.709 eV/atom. As for the volume: 23.20 Å³/atom. Its formation energy is -4.16 eV per formula unit. As for the crystal system: tetragonal. The calculation puts the energy above the lowest structure with this stoichiometry at 0.009 eV per atom.



# 7
The following is a DFT calculation (PBE-GGA) of KAlPb after structural relaxation.

Cell and atoms, written as POSCAR:
```
KAlPb
1.0
7.6971 0.0000 0.0000
0.0000 6.2640 0.0000
0.0000 0.0000 4.5408
K Al Pb
2 2 2
Cartesian
1.9243 0.0000 0.6357 K
5.7728 0.0000 3.9051 K
0.0000 3.1320 0.0000 Al
3.8485 3.1320 0.0000 Al
1.9243 3.1320 2.4756 Pb
5.7728 3.1320 2.0651 Pb
```

Values from the calculation:
Its space-group type is Pmma, No. 51. The total energy comes out at -2.690 eV/atom. As for the volume: 36.49 Å³/atom. Its formation energy is 0.48 eV per formula unit. As for the crystal system: orthorhombic.



# 8
The following is a DFT calculation (PBE-GGA) of Ba6PPd2Br3 after structural relaxation.

Cell and atoms, written as POSCAR:
```
Ba6PPd2Br3
1.0
4.0474 -7.0123 0.0000
4.0474 7.0123 0.0000
-2.7084 0.0000 8.1546
Ba P Pd Br
6 1 2 3
Cartesian
1.3281 2.3046 1.7450 Ba
-0.0466 0.0000 6.4047 Ba
1.3281 -2.3046 1.7450 Ba
4.0583 2.3046 6.4096 Ba
5.4330 0.0000 1.7498 Ba
4.0583 -2.3046 6.4096 Ba
0.0000 0.0000 0.0000 P
4.0474 2.3389 0.0000 Pd
4.0474 -2.3389 0.0000 Pd
2.6932 4.7048 4.0773 Br
2.6932 0.0000 4.0773 Br
2.6932 -4.7048 4.0773 Br
```

Values from the calculation:
Its space-group type is C2/m, No. 12. The total energy comes out at -3.932 eV/atom. The formation energy from raw total energies is -1236 meV per atom. As for the volume: 38.57 Å³/atom. As for the crystal system: monoclinic.